## KPa2GeO8 (PBE-GGA)

Data for a geometry-optimized KPa2GeO8 structure.

Summary:
crystal system	orthorhombic
space group	No. 65
density	6.60	g/cm3
calculated volume	176.7	Å³ per cell
electronic total energy	-7.89	eV per atom

Unit cell a=4.981 b=4.981 c=7.133 alpha=90.00 beta=90.00 gamma=93.46
Positions (direct):
1 K 0.000 0.000 0.000
2 Pa 0.500 0.500 0.253
3 Pa 0.500 0.500 0.747
4 Ge 0.000 0.000 0.500
5 O 0.194 0.194 0.311
6 O 0.194 0.194 0.689
7 O 0.295 0.705 0.500
8 O 0.333 0.667 0.000
9 O 0.667 0.333 0.000
10 O 0.705 0.295 0.500
11 O 0.806 0.806 0.311
12 O 0.806 0.806 0.689